# 1
Entry from Alexandria via LeMat-Bulk: an optimized crystal structure of ScNbTe2I (PBE).

Results
The value obtained for the energy above the most stable polymorph in this dataset is 0.0000 eV per atom. As for the theoretical density: 5.223 Mg/m³. The total magnetic moment is 2.3 μB per cell. Its total energy is -4.649 eV per atom. The density of states at the Fermi level is 1.311 states/eV per atom.

Cell: 5.4522 5.4522 5.5611 Å, 90.00 90.00 90.00°
Closest atoms and distances in Å follow each position.
Element x y z (fractional)
Sc: 0.0000 0.0000 0.0000  4 I 3.86, 8 Te 3.89
Nb: 0.5000 0.5000 0.5000  4 Te 2.73, 2 I 2.78
Te: 0.0000 0.5000 0.5000  2 Nb 2.73
Te: 0.5000 0.0000 0.5000  2 Nb 2.73
I: 0.5000 0.5000 0.0000  2 Nb 2.78


# 2
Entry from Alexandria via LeMat-Bulk: an optimized crystal structure of Sr2Ga2Ge3 (PBE).

Results
As for the theoretical density: 5.166 Mg/m³. As for the energy relative to the elements: -0.40 eV per atom. The total magnetic moment is 0.0 μB per cell. Its total energy is -3.723 eV per atom. The density of states at the Fermi level is 0.370 states/eV per atom.

Cell: 9.9743 9.9743 7.2707 Å, 90.00 90.00 151.75°
Closest atoms and distances in Å follow each position.
Element x y z (fractional)
Sr: 0.0496 0.9504 0.7500  9 Ge 3.28-3.49
Sr: 0.1552 0.8448 0.2500  6 Ga 3.29-3.37, 6 Ge 3.30-3.44
Sr: 0.8448 0.1552 0.7500  6 Ga 3.29-3.37, 6 Ge 3.30-3.44
Sr: 0.9504 0.0496 0.2500  9 Ge 3.28-3.49
Ga: 0.3088 0.6912 0.0561  4 Ge 2.69-2.87, 1 Ga 2.82
Ga: 0.3088 0.6912 0.4439  4 Ge 2.69-2.87, 1 Ga 2.82
Ga: 0.6912 0.3088 0.5561  4 Ge 2.69-2.87, 1 Ga 2.82
Ga: 0.6912 0.3088 0.9439  4 Ge 2.69-2.87, 1 Ga 2.82
Ge: 0.2193 0.7807 0.7500  6 Ga 2.82-2.87
Ge: 0.4389 0.5611 0.5728  2 Ge 2.58-2.59, 1 Ga 2.69
Ge: 0.4389 0.5611 0.9272  2 Ge 2.58-2.59, 1 Ga 2.69
Ge: 0.5611 0.4389 0.0728  2 Ge 2.58-2.59, 1 Ga 2.69
Ge: 0.5611 0.4389 0.4272  2 Ge 2.58-2.59, 1 Ga 2.69
Ge: 0.7807 0.2193 0.2500  6 Ga 2.82-2.87